[1]
Compound: K2RbLiPt
Source: Alexandria
Functional: PBE-GGA
Structure: optimized geometry

a b c (Å): 6.411 6.411 5.154
angles (deg): 90.00 90.00 90.00
Sites, in units of the cell vectors:
K: 0.500 0.000 0.000
K: 0.000 0.500 0.000
Rb: 0.500 0.500 0.500
Pt: 0.000 0.000 0.000
Li: 0.000 0.000 0.500

Output
**Space group**: P4/mmm, No. 123
**Total moment**: 0.00 μB per formula unit
**DFT total energy**: -2.19 eV per atom

***

[2]
Compound: K2LiSb3Pt4
Source: Alexandria
Functional: PBE-GGA
Structure: optimized geometry

a b c (Å): 4.623 4.623 10.790
angles (deg): 90.00 90.00 90.00
Sites, in units of the cell vectors:
Sb: 0.000 0.000 0.500
Sb: 0.500 0.000 0.871
Sb: 0.000 0.500 0.129
Pt: 0.500 0.000 0.623
Pt: 0.500 0.500 0.000
Pt: 0.000 0.000 0.000
Pt: 0.000 0.500 0.377
K: 0.500 0.000 0.255
K: 0.000 0.500 0.745
Li: 0.500 0.500 0.500

Output
**Space group**: P-4m2, No. 115
**Total moment**: 0.00 μB per formula unit
**DFT total energy**: -4.57 eV per atom

***

[3]
Compound: KLi2SiPt
Source: Alexandria
Functional: PBE-GGA
Structure: optimized geometry

a b c (Å): 5.046 5.046 4.571
angles (deg): 90.00 90.00 90.00
Sites, in units of the cell vectors:
K: 0.500 0.500 0.500
Si: 0.000 0.000 0.500
Li: 0.500 0.000 0.000
Li: 0.000 0.500 0.000
Pt: 0.000 0.000 0.000

Output
**Space group**: P4/mmm, No. 123
**Total moment**: 0.00 μB per formula unit
**Relative energy among the computed polymorphs**: 0.0000 eV per atom

***

[4]
Compound: KLi2SiPt
Source: Alexandria
Functional: PBE-GGA
Structure: optimized geometry

a b c (Å): 4.863 5.943 4.863
angles (deg): 90.00 90.00 90.00
Each line ends with the local moment (μB).
Sites, in units of the cell vectors:
Pt: 0.000 0.000 0.000  0.05
K: 0.000 0.500 0.000  0.03
Si: 0.500 0.500 0.500  0.26
Li: 0.000 0.000 0.500  0.00
Li: 0.500 0.000 0.000  0.00

Output
**Space group**: P4/mmm, No. 123
**Total moment**: 1.05 μB per formula unit
**Relative energy among the computed polymorphs**: 0.8717 eV per atom

***

[5]
Compound: K2LiSn4Pt3
Source: Alexandria
Functional: PBE-GGA
Structure: optimized geometry

a b c (Å): 4.794 4.794 10.639
angles (deg): 90.00 90.00 90.00
Sites, in units of the cell vectors:
Li: 0.500 0.500 0.500
Sn: 0.500 0.000 0.624
Sn: 0.500 0.500 0.000
Sn: 0.000 0.500 0.376
Sn: 0.000 0.000 0.000
Pt: 0.000 0.500 0.125
Pt: 0.000 0.000 0.500
Pt: 0.500 0.000 0.875
K: 0.500 0.000 0.255
K: 0.000 0.500 0.745

Output
**Space group**: P-4m2, No. 115
**Total moment**: 0.00 μB per formula unit
**DFT total energy**: -4.26 eV per atom

***

[6]
Compound: K2LiSn3Pt4
Source: Alexandria
Functional: PBE-GGA
Structure: optimized geometry

a b c (Å): 4.513 4.513 11.329
angles (deg): 90.00 90.00 90.00
Sites, in units of the cell vectors:
Pt: 0.000 0.500 0.370
Pt: 0.000 0.000 0.000
Pt: 0.500 0.000 0.630
Pt: 0.500 0.500 0.000
Sn: 0.000 0.000 0.500
Sn: 0.000 0.500 0.130
Sn: 0.500 0.000 0.870
K: 0.000 0.500 0.744
K: 0.500 0.000 0.256
Li: 0.500 0.500 0.500

Output
**Space group**: P-4m2, No. 115
**Total moment**: 0.00 μB per formula unit
**DFT total energy**: -4.50 eV per atom

***

[7]
Compound: KSrLi2Pt
Source: Alexandria
Functional: PBE-GGA
Structure: optimized geometry

a b c (Å): 5.339 5.339 5.705
angles (deg): 90.00 90.00 90.00
Sites, in units of the cell vectors:
Li: 0.500 0.000 0.000
Li: 0.000 0.500 0.000
K: 0.500 0.500 0.500
Sr: 0.000 0.000 0.500
Pt: 0.000 0.000 0.000

Output
**Space group**: P4/mmm, No. 123
**Total moment**: 0.00 μB per formula unit
**DFT total energy**: -2.69 eV per atom

***

[8]
Compound: KLiTl2Pt
Source: Alexandria
Functional: PBE-GGA
Structure: optimized geometry

a b c (Å): 5.338 5.338 5.179
angles (deg): 90.00 90.00 90.00
Sites, in units of the cell vectors:
Tl: 0.500 0.000 0.000
Tl: 0.000 0.500 0.000
Pt: 0.000 0.000 0.000
Li: 0.000 0.000 0.500
K: 0.500 0.500 0.500

Output
**Space group**: P4/mmm, No. 123
**Total moment**: 0.00 μB per formula unit
**DFT total energy**: -2.94 eV per atom